(1)
A plane-wave DFT calculation with PBE-GGA was carried out for a relaxed structure of K2Zr.

The space group is C2/m (No. 12) and the conventional cell measures 20.2823, 3.4914 and 8.5661 Å, with angles of 90.00, 108.33 and 90.00 degrees. The inequivalent atoms are K at (0.1051, 0.0000, 0.0770), K at (0.1701, 0.0000, 0.6358) and Zr at (0.0016, 0.5000, 0.3558).

The energy relative to the elements is 0.763 eV/atom. The calculated volume is 576 Å³/cell. The calculation puts the total energy at -0.20715 Ry/atom. The calculation puts the energy above the most stable polymorph in this dataset at 305 meV/atom.


(2)
A plane-wave DFT calculation with PBE-GGA was carried out for a relaxed structure of KZr.

The space group is C2/m (No. 12) and the conventional cell measures 10.2820, 3.1564 and 9.9387 Å, with angles of 90.00, 92.29 and 90.00 degrees. The inequivalent atoms are K at (0.1198, 0.0000, 0.3150) and Zr at (0.1381, 0.5000, 0.9599).

The energy relative to the elements is 0.725 eV/atom. The calculated volume is 322 Å³/cell. The calculation puts the total energy at -0.30121 Ry/atom. The calculation puts the energy above the most stable polymorph in this dataset at 283 meV/atom.


(3)
A plane-wave DFT calculation with PBE-GGA was carried out for a relaxed structure of KZr4.

The space group is Pm-3m (No. 221) and the conventional cell measures 4.9492, 4.9492 and 4.9492 Å, with angles of 90.00, 90.00 and 90.00 degrees. The inequivalent atoms are K at (0.0000, 0.0000, 0.0000), Zr at (0.0000, 0.0000, 0.5000) and Zr at (0.5000, 0.5000, 0.5000).

The energy relative to the elements is 1.768 eV/atom. The calculated volume is 121 Å³/cell. The calculation puts the total energy at -0.38879 Ry/atom. The calculation puts the energy above the most stable polymorph in this dataset at 0 meV/atom.


(4)
A plane-wave DFT calculation with PBE-GGA was carried out for a relaxed structure of KZr.

The space group is Fddd (No. 70, origin choice 2) and the conventional cell measures 6.8566, 10.4140 and 17.3110 Å, with angles of 90.00, 90.00 and 90.00 degrees. The inequivalent atoms are K at (0.1250, 0.2833, 0.1250) and Zr at (0.1250, 0.1250, 0.5519).

The energy relative to the elements is 1.233 eV/atom. The calculated volume is 1236 Å³/cell. The calculation puts the total energy at -0.26383 Ry/atom. The calculation puts the energy above the most stable polymorph in this dataset at 792 meV/atom.


(5)
A plane-wave DFT calculation with PBE-GGA was carried out for a relaxed structure of KZr.

The space group is Cm (No. 8) and the conventional cell measures 16.3528, 3.2561 and 9.0043 Å, with angles of 90.00, 104.57 and 90.00 degrees. The inequivalent atoms are K at (0.0000, 0.0000, 0.0000), K at (0.0594, 0.0000, 0.5359), K at (0.3219, 0.0000, 0.6297), Zr at (0.1973, 0.5000, 0.2616), Zr at (0.2307, 0.5000, 0.9625) and Zr at (0.3402, 0.0000, 0.2147).

The energy relative to the elements is 0.684 eV/atom. The calculated volume is 464 Å³/cell. The calculation puts the total energy at -0.30421 Ry/atom. The calculation puts the energy above the most stable polymorph in this dataset at 243 meV/atom.


(6)
A plane-wave DFT calculation with PBE-GGA was carried out for a relaxed structure of KZr.

The space group is P6_3/m (No. 176) and the conventional cell measures 12.0985, 12.0985 and 3.0748 Å, with angles of 90.00, 90.00 and 120.00 degrees. The inequivalent atoms are K at (0.0916, 0.7974, 0.2500) and Zr at (0.1302, 0.5508, 0.2500).

The energy relative to the elements is 0.928 eV/atom. The calculated volume is 390 Å³/cell. The calculation puts the total energy at -0.28623 Ry/atom. The calculation puts the energy above the most stable polymorph in this dataset at 487 meV/atom.


(7)
A plane-wave DFT calculation with PBE-GGA was carried out for a relaxed structure of KZr.

The space group is Pm-3m (No. 221) and the conventional cell measures 4.0405, 4.0405 and 4.0405 Å, with angles of 90.00, 90.00 and 90.00 degrees. The inequivalent atoms are K at (0.0000, 0.0000, 0.0000) and Zr at (0.5000, 0.5000, 0.5000).

The energy relative to the elements is 1.605 eV/atom. The calculated volume is 66 Å³/cell. The calculation puts the total energy at -0.23654 Ry/atom. The calculation puts the energy above the most stable polymorph in this dataset at 1163 meV/atom.


(8)
A plane-wave DFT calculation with PBE-GGA was carried out for a relaxed structure of KZr.

The space group is P4_12_12 (No. 92) and the conventional cell measures 7.1410, 7.1410 and 10.5078 Å, with angles of 90.00, 90.00 and 90.00 degrees. The inequivalent atoms are K at (0.0380, 0.1978, 0.3602) and Zr at (0.0978, 0.3086, 0.9288).

The energy relative to the elements is 0.990 eV/atom. The calculated volume is 536 Å³/cell. The calculation puts the total energy at -0.28173 Ry/atom. The calculation puts the energy above the most stable polymorph in this dataset at 548 meV/atom.